The following is a PBE with a Hubbard U calculation of a geometry-optimized TlV2GeF structure, from Alexandria.

abc: 4.977 5.667 4.977
angles: 90.00 90.00 90.00
Each line ends with the local moment (μB).
Atoms (fractional coordinates):
1 Tl 0.000 0.500 0.000  0.01
2 F 0.500 0.500 0.500  0.03
3 Ge 0.000 0.000 0.000  -0.15
4 V 0.000 0.000 0.500  3.05
5 V 0.500 0.000 0.000  2.70

Values from the calculation:
The total energy is -20.93 eV/cell. For the density, the calculation gives 4.708 g/cm3.